Arrangement a

! BaBe2V | Alexandria | PBE-GGA | optimized geometry; values from VASP
&SYSTEM
  ibrav = 0, nat = 4, ntyp = 3
/
ATOMIC_SPECIES
Be 9.01 Be.upf
Ba 137.33 Ba.upf
V 50.94 V.upf
ATOMIC_POSITIONS crystal
Be 0.250 0.250 0.250
Be 0.750 0.750 0.750
Ba 0.500 0.500 0.500
V 0.000 0.000 0.000
CELL_PARAMETERS angstrom
0.000 3.448 3.448
3.448 0.000 3.448
3.448 3.448 0.000
! SG: No. 225

***

Arrangement b

! BaBe2V | Alexandria | PBE-GGA | optimized geometry; values from VASP
&SYSTEM
  ibrav = 0, nat = 8, ntyp = 3
/
ATOMIC_SPECIES
Be 9.01 Be.upf
Ba 137.33 Ba.upf
V 50.94 V.upf
ATOMIC_POSITIONS crystal
Be 0.375 0.125 0.250
Be 0.375 0.625 0.250
Be 0.375 0.625 0.750
Be 0.875 0.625 0.750
Ba 0.000 0.000 0.000
Ba 0.750 0.250 0.500
V 0.500 0.500 0.000
V 0.250 0.750 0.500
CELL_PARAMETERS angstrom
-0.062 -0.212 4.616
4.351 -1.556 -0.013
5.071 7.298 2.716
! SG: No. 141

***

Of them, the most stable is arrangement b and the least stable is arrangement a.

***

Arrangement a

! BaBe3W | Alexandria | PBE-GGA | optimized geometry; values from VASP
&SYSTEM
  ibrav = 0, nat = 5, ntyp = 3
/
ATOMIC_SPECIES
Be 9.01 Be.upf
Ba 137.33 Ba.upf
W 183.84 W.upf
ATOMIC_POSITIONS crystal
Be 0.000 0.500 0.000
Be 0.000 0.000 0.500
Be 0.500 0.000 0.000
Ba 0.500 0.500 0.500
W 0.000 0.000 0.000
CELL_PARAMETERS angstrom
4.676 0.000 0.000
0.000 4.676 0.000
0.000 0.000 4.676
! SG: No. 221

***

Arrangement b

! BaBe3W | Alexandria | PBE-GGA | optimized geometry; values from VASP
&SYSTEM
  ibrav = 0, nat = 5, ntyp = 3
/
ATOMIC_SPECIES
Be 9.01 Be.upf
Ba 137.33 Ba.upf
W 183.84 W.upf
ATOMIC_POSITIONS crystal
Be 0.000 0.500 0.000
Be 0.000 0.000 0.500
Be 0.500 0.000 0.000
Ba 0.000 0.000 0.000
W 0.500 0.500 0.500
CELL_PARAMETERS angstrom
4.573 0.000 0.000
0.000 4.573 0.000
0.000 0.000 4.573
! SG: No. 221

***

Of them, the most stable is arrangement a and the least stable is arrangement b.

***

Arrangement a

! BaYBe2 | Alexandria | PBE-GGA | optimized geometry; values from VASP
&SYSTEM
  ibrav = 0, nat = 4, ntyp = 3
/
ATOMIC_SPECIES
Y 88.91 Y.upf
Be 9.01 Be.upf
Ba 137.33 Ba.upf
ATOMIC_POSITIONS crystal
Y 0.500 0.500 0.000
Be 0.000 0.000 0.000
Be 0.000 0.500 0.500
Ba 0.500 0.000 0.500
CELL_PARAMETERS angstrom
-1.304 0.956 3.139
-4.842 -1.030 -1.698
0.456 -4.931 1.690
! SG: No. 123

***

Arrangement b

! BaYBe2 | Alexandria | PBE-GGA | optimized geometry; values from VASP
&SYSTEM
  ibrav = 0, nat = 4, ntyp = 3
/
ATOMIC_SPECIES
Y 88.91 Y.upf
Be 9.01 Be.upf
Ba 137.33 Ba.upf
ATOMIC_POSITIONS crystal
Y 0.750 0.750 0.750
Be 0.018 0.018 0.794
Be 0.482 0.482 0.706
Ba 0.250 0.250 0.250
CELL_PARAMETERS angstrom
-0.291 4.991 1.241
-1.443 2.541 4.242
4.989 3.086 4.436
! SG: No. 12

***

Arrangement c

! BaYBe2 | Alexandria | PBE-GGA | optimized geometry; values from VASP
&SYSTEM
  ibrav = 0, nat = 4, ntyp = 3
/
ATOMIC_SPECIES
Y 88.91 Y.upf
Be 9.01 Be.upf
Ba 137.33 Ba.upf
ATOMIC_POSITIONS crystal
Y 0.000 0.000 0.000
Be 0.250 0.250 0.250
Be 0.750 0.750 0.750
Ba 0.500 0.500 0.500
CELL_PARAMETERS angstrom
4.483 -1.043 2.412
0.864 1.832 4.786
0.075 -3.252 4.053
! SG: No. 225

***

Of them, the most stable is arrangement b and the least stable is arrangement c.

***

Arrangement a

! BaYBe2 | Alexandria | PBE-GGA | optimized geometry; values from VASP
&SYSTEM
  ibrav = 0, nat = 4, ntyp = 3
/
ATOMIC_SPECIES
Y 88.91 Y.upf
Be 9.01 Be.upf
Ba 137.33 Ba.upf
ATOMIC_POSITIONS crystal
Y 0.486 0.486 0.000
Be 0.944 0.944 0.000
Be 0.856 0.356 0.500
Ba 0.214 0.714 0.500
CELL_PARAMETERS angstrom
-0.452 6.781 0.773
-4.020 4.483 -3.244
0.607 -5.747 3.658
! SG: No. 44

***

Arrangement b

! BaYBe2 | Alexandria | PBE-GGA | optimized geometry; values from VASP
&SYSTEM
  ibrav = 0, nat = 4, ntyp = 3
/
ATOMIC_SPECIES
Y 88.91 Y.upf
Be 9.01 Be.upf
Ba 137.33 Ba.upf
ATOMIC_POSITIONS crystal
Y 0.000 0.000 0.410
Be 0.000 0.000 0.092
Be 0.500 0.500 0.192
Ba 0.500 0.500 0.806
CELL_PARAMETERS angstrom
3.296 0.000 0.000
0.000 3.296 0.000
0.000 0.000 8.696
! SG: No. 99

***

Arrangement c

! BaYBe2 | Alexandria | PBE-GGA | optimized geometry; values from VASP
&SYSTEM
  ibrav = 0, nat = 4, ntyp = 3
/
ATOMIC_SPECIES
Y 88.91 Y.upf
Be 9.01 Be.upf
Ba 137.33 Ba.upf
ATOMIC_POSITIONS crystal
Y 0.500 0.500 0.000
Be 0.000 0.000 0.000
Be 0.250 0.750 0.500
Ba 0.750 0.250 0.500
CELL_PARAMETERS angstrom
-5.598 -0.245 1.946
-0.888 -1.235 5.733
3.341 3.729 -3.181
! SG: No. 119

***

Arrangement d

! BaYBe2 | Alexandria | PBE-GGA | optimized geometry; values from VASP
&SYSTEM
  ibrav = 0, nat = 4, ntyp = 3
/
ATOMIC_SPECIES
Y 88.91 Y.upf
Be 9.01 Be.upf
Ba 137.33 Ba.upf
ATOMIC_POSITIONS crystal
Y 0.750 0.750 0.750
Be 0.000 0.000 0.000
Be 0.250 0.250 0.250
Ba 0.500 0.500 0.500
CELL_PARAMETERS angstrom
-0.936 2.895 4.018
-1.388 -2.113 4.360
3.174 -0.019 3.914
! SG: No. 216

***

Of them, the most stable is arrangement a and the least stable is arrangement d.

***

Arrangement a

! BaYBe2 | Alexandria | PBE-GGA | optimized geometry; values from VASP
&SYSTEM
  ibrav = 0, nat = 4, ntyp = 3
/
ATOMIC_SPECIES
Y 88.91 Y.upf
Be 9.01 Be.upf
Ba 137.33 Ba.upf
ATOMIC_POSITIONS crystal
Y 0.250 0.250 0.250
Be 0.988 0.988 0.988
Be 0.512 0.512 0.512
Ba 0.750 0.750 0.750
CELL_PARAMETERS angstrom
-6.862 1.868 -5.278
-6.331 -1.895 -5.895
-8.357 -0.712 -2.843
! SG: No. 166

***

Arrangement b

! BaYBe2 | Alexandria | PBE-GGA | optimized geometry; values from VASP
&SYSTEM
  ibrav = 0, nat = 4, ntyp = 3
/
ATOMIC_SPECIES
Y 88.91 Y.upf
Be 9.01 Be.upf
Ba 137.33 Ba.upf
ATOMIC_POSITIONS crystal
Y 0.000 0.502 0.372
Be 0.000 0.140 0.096
Be 0.500 0.084 0.207
Ba 0.500 0.775 0.825
CELL_PARAMETERS angstrom
-0.713 3.714 1.352
-3.565 -0.750 0.180
-0.946 -2.710 6.945
! SG: No. 38

***

Arrangement c

! BaYBe2 | Alexandria | PBE-GGA | optimized geometry; values from VASP
&SYSTEM
  ibrav = 0, nat = 8, ntyp = 3
/
ATOMIC_SPECIES
Y 88.91 Y.upf
Be 9.01 Be.upf
Ba 137.33 Ba.upf
ATOMIC_POSITIONS crystal
Y 0.500 0.500 0.000
Y 0.250 0.750 0.500
Be 0.582 0.125 0.250
Be 0.168 0.625 0.250
Be 0.375 0.418 0.750
Be 0.875 0.832 0.750
Ba 0.000 0.000 0.000
Ba 0.750 0.250 0.500
CELL_PARAMETERS angstrom
-2.705 0.670 -7.452
6.326 -4.026 -2.658
-0.031 -4.827 -4.670
! SG: No. 122

***

Arrangement d

! BaYBe2 | Alexandria | PBE-GGA | optimized geometry; values from VASP
&SYSTEM
  ibrav = 0, nat = 4, ntyp = 3
/
ATOMIC_SPECIES
Y 88.91 Y.upf
Be 9.01 Be.upf
Ba 137.33 Ba.upf
ATOMIC_POSITIONS crystal
Y 0.454 0.454 0.639
Be 0.051 0.051 0.848
Be 0.718 0.718 0.847
Ba 0.276 0.276 0.167
CELL_PARAMETERS angstrom
-1.088 2.136 -3.251
-3.890 0.215 -1.063
-2.505 6.970 2.909
! SG: No. 8

***

Of them, the most stable is arrangement d and the least stable is arrangement c.

***

Arrangement a

! BaYBe | Alexandria | PBE-GGA | optimized geometry; values from VASP
&SYSTEM
  ibrav = 0, nat = 3, ntyp = 3
/
ATOMIC_SPECIES
Y 88.91 Y.upf
Be 9.01 Be.upf
Ba 137.33 Ba.upf
ATOMIC_POSITIONS crystal
Y 0.000 0.000 0.000
Be 0.750 0.750 0.750
Ba 0.500 0.500 0.500
CELL_PARAMETERS angstrom
5.202 0.000 0.000
2.601 4.505 0.000
2.601 1.502 4.247
! SG: No. 216

***

Arrangement b

! BaYBe | Alexandria | PBE-GGA | optimized geometry; values from VASP
&SYSTEM
  ibrav = 0, nat = 3, ntyp = 3
/
ATOMIC_SPECIES
Y 88.91 Y.upf
Be 9.01 Be.upf
Ba 137.33 Ba.upf
ATOMIC_POSITIONS crystal
Y 0.333 0.667 0.500
Be 0.667 0.333 0.500
Ba 0.000 0.000 0.000
CELL_PARAMETERS angstrom
-1.088 4.337 1.439
-1.960 -3.727 2.081
3.964 -0.153 3.459
! SG: No. 187

***

Arrangement c

! BaYBe | Alexandria | PBE-GGA | optimized geometry; values from VASP
&SYSTEM
  ibrav = 0, nat = 3, ntyp = 3
/
ATOMIC_SPECIES
Y 88.91 Y.upf
Be 9.01 Be.upf
Ba 137.33 Ba.upf
ATOMIC_POSITIONS crystal
Y 0.500 0.500 0.500
Be 0.000 0.000 0.000
Ba 0.750 0.750 0.750
CELL_PARAMETERS angstrom
5.095 0.000 0.000
2.548 4.413 0.000
2.548 1.471 4.160
! SG: No. 216

***

Of them, the most stable is arrangement b and the least stable is arrangement c.

***

Arrangement a

! BaYBe | Alexandria | PBE-GGA | optimized geometry; values from VASP
&SYSTEM
  ibrav = 0, nat = 3, ntyp = 3
/
ATOMIC_SPECIES
Y 88.91 Y.upf
Be 9.01 Be.upf
Ba 137.33 Ba.upf
ATOMIC_POSITIONS crystal
Y 0.333 0.667 0.586
Be 0.667 0.333 0.360
Ba 0.000 0.000 0.054
CELL_PARAMETERS angstrom
-0.721 -2.772 -2.586
3.639 1.051 0.738
0.399 -5.282 5.551
! SG: No. 156

***

Arrangement b

! BaYBe | Alexandria | PBE-GGA | optimized geometry; values from VASP
&SYSTEM
  ibrav = 0, nat = 3, ntyp = 3
/
ATOMIC_SPECIES
Y 88.91 Y.upf
Be 9.01 Be.upf
Ba 137.33 Ba.upf
ATOMIC_POSITIONS crystal
Y 0.717 0.717 0.283
Be 0.308 0.308 0.692
Ba 0.975 0.975 0.025
CELL_PARAMETERS angstrom
7.247 0.005 -0.005
6.295 3.590 -0.005
0.952 0.251 3.576
! SG: No. 107

***

Of them, the most stable is arrangement b and the least stable is arrangement a.

***

Arrangement a

! BaY3Be | Alexandria | PBE-GGA | optimized geometry; values from VASP
&SYSTEM
  ibrav = 0, nat = 5, ntyp = 3
/
ATOMIC_SPECIES
Y 88.91 Y.upf
Be 9.01 Be.upf
Ba 137.33 Ba.upf
ATOMIC_POSITIONS crystal
Y 0.000 0.500 0.000
Y 0.000 0.000 0.500
Y 0.500 0.000 0.000
Be 0.000 0.000 0.000
Ba 0.500 0.500 0.500
CELL_PARAMETERS angstrom
-2.725 2.346 -4.153
-4.760 -1.646 2.193
-0.307 4.686 2.850
! SG: No. 221

***

Arrangement b

! BaY3Be | Alexandria | PBE-GGA | optimized geometry; values from VASP
&SYSTEM
  ibrav = 0, nat = 5, ntyp = 3
/
ATOMIC_SPECIES
Y 88.91 Y.upf
Be 9.01 Be.upf
Ba 137.33 Ba.upf
ATOMIC_POSITIONS crystal
Y 0.000 0.500 0.000
Y 0.000 0.000 0.500
Y 0.500 0.000 0.000
Be 0.500 0.500 0.500
Ba 0.000 0.000 0.000
CELL_PARAMETERS angstrom
5.665 0.000 0.000
0.000 5.665 0.000
0.000 0.000 5.665
! SG: No. 221

***

Of them, the most stable is arrangement a and the least stable is arrangement b.

***

Arrangement a

! Ba2BeZn | Alexandria | PBE-GGA | optimized geometry; values from VASP
&SYSTEM
  ibrav = 0, nat = 4, ntyp = 3
/
ATOMIC_SPECIES
Be 9.01 Be.upf
Zn 65.41 Zn.upf
Ba 137.33 Ba.upf
ATOMIC_POSITIONS crystal
Be 0.500 0.500 0.000
Zn 0.750 0.250 0.500
Ba 0.000 0.000 0.000
Ba 0.250 0.750 0.500
CELL_PARAMETERS angstrom
-3.017 3.420 -2.953
2.652 -1.534 -4.486
-2.413 -3.733 3.140
! SG: No. 119

***

Arrangement b

! Ba2BeZn | Alexandria | PBE-GGA | optimized geometry; values from VASP
&SYSTEM
  ibrav = 0, nat = 4, ntyp = 3
/
ATOMIC_SPECIES
Be 9.01 Be.upf
Zn 65.41 Zn.upf
Ba 137.33 Ba.upf
ATOMIC_POSITIONS crystal
Be 0.429 0.429 0.000
Zn 0.325 0.825 0.500
Ba 0.031 0.031 0.000
Ba 0.715 0.215 0.500
CELL_PARAMETERS angstrom
-4.446 -3.600 -2.641
-2.853 -3.715 4.215
1.131 6.044 -1.377
! SG: No. 44

***

Arrangement c

! Ba2BeZn | Alexandria | PBE-GGA | optimized geometry; values from VASP
&SYSTEM
  ibrav = 0, nat = 4, ntyp = 3
/
ATOMIC_SPECIES
Be 9.01 Be.upf
Zn 65.41 Zn.upf
Ba 137.33 Ba.upf
ATOMIC_POSITIONS crystal
Be 0.000 0.000 0.561
Zn 0.500 0.500 0.687
Ba 0.000 0.000 0.912
Ba 0.500 0.500 0.340
CELL_PARAMETERS angstrom
-0.335 1.555 -3.526
-1.293 -3.380 -1.366
-8.552 2.498 1.914
! SG: No. 99

***

Of them, the most stable is arrangement b and the least stable is arrangement a.

***

Arrangement a

! Ba2BeZn | Alexandria | PBE-GGA | optimized geometry; values from VASP
&SYSTEM
  ibrav = 0, nat = 4, ntyp = 3
/
ATOMIC_SPECIES
Be 9.01 Be.upf
Zn 65.41 Zn.upf
Ba 137.33 Ba.upf
ATOMIC_POSITIONS crystal
Be 0.000 0.000 0.000
Zn 0.500 0.500 0.500
Ba 0.250 0.250 0.250
Ba 0.750 0.750 0.750
CELL_PARAMETERS angstrom
-0.062 -5.600 -1.107
-3.247 -3.494 3.136
-4.643 -2.405 -2.291
! SG: No. 225

***

Arrangement b

! Ba2BeZn | Alexandria | PBE-GGA | optimized geometry; values from VASP
&SYSTEM
  ibrav = 0, nat = 4, ntyp = 3
/
ATOMIC_SPECIES
Be 9.01 Be.upf
Zn 65.41 Zn.upf
Ba 137.33 Ba.upf
ATOMIC_POSITIONS crystal
Be 0.250 0.250 0.250
Zn 0.750 0.750 0.750
Ba 0.995 0.995 0.995
Ba 0.505 0.505 0.505
CELL_PARAMETERS angstrom
9.388 0.007 0.004
8.324 4.340 0.004
8.324 2.043 3.829
! SG: No. 166

***

Arrangement c

! Ba2BeZn | Alexandria | PBE-GGA | optimized geometry; values from VASP
&SYSTEM
  ibrav = 0, nat = 8, ntyp = 3
/
ATOMIC_SPECIES
Be 9.01 Be.upf
Zn 65.41 Zn.upf
Ba 137.33 Ba.upf
ATOMIC_POSITIONS crystal
Be 0.500 0.500 0.000
Be 0.250 0.750 0.500
Zn 0.000 0.000 0.000
Zn 0.750 0.250 0.500
Ba 0.607 0.125 0.250
Ba 0.143 0.625 0.250
Ba 0.375 0.393 0.750
Ba 0.875 0.857 0.750
CELL_PARAMETERS angstrom
-1.985 -2.425 8.213
8.534 0.143 2.105
2.951 2.682 6.210
! SG: No. 122

***

Arrangement d

! Ba2BeZn | Alexandria | PBE-GGA | optimized geometry; values from VASP
&SYSTEM
  ibrav = 0, nat = 4, ntyp = 3
/
ATOMIC_SPECIES
Be 9.01 Be.upf
Zn 65.41 Zn.upf
Ba 137.33 Ba.upf
ATOMIC_POSITIONS crystal
Be 0.000 0.649 0.579
Zn 0.500 0.601 0.672
Ba 0.000 0.969 0.937
Ba 0.500 0.281 0.312
CELL_PARAMETERS angstrom
-2.467 -2.740 2.541
-2.249 -2.144 -4.495
2.750 -4.745 -2.446
! SG: No. 6

***

Of them, the most stable is arrangement d and the least stable is arrangement c.